Model P:
First-principles (GGA-PBE) data for a geometry-optimized BaHIr2 structure, as listed in the Alexandria database.

Cell lengths 5.809, 5.809, 5.809 Å; angles 60.00, 60.00, 60.00 degrees
Fractional coordinates of all 8 atoms:
Ba  0.125  0.125  0.125
Ba  0.875  0.875  0.875
H  0.375  0.375  0.375
H  0.625  0.625  0.625
Ir  0.000  0.500  0.500
Ir  0.500  0.000  0.500
Ir  0.500  0.500  0.000
Ir  0.500  0.500  0.500

Results
Space-group type: Fd-3m (227)


Model Q:
First-principles (GGA-PBE) data for a geometry-optimized BaHIr2 structure, as listed in the Alexandria database.

Cell lengths 6.677, 6.677, 6.677 Å; angles 90.00, 90.00, 90.00 degrees
Fractional coordinates of all 16 atoms:
Ba  0.000  0.000  0.000
Ba  0.000  0.500  0.500
Ba  0.500  0.000  0.500
Ba  0.500  0.500  0.000
H  0.000  0.000  0.500
H  0.000  0.500  0.000
H  0.500  0.000  0.000
H  0.500  0.500  0.500
Ir  0.250  0.250  0.250
Ir  0.250  0.250  0.750
Ir  0.250  0.750  0.250
Ir  0.250  0.750  0.750
Ir  0.750  0.250  0.250
Ir  0.750  0.250  0.750
Ir  0.750  0.750  0.250
Ir  0.750  0.750  0.750

Results
Space-group type: Fm-3m (225)


Most stable structure - model P; separation to the second - 1589 meV/atom.